Version w
Below is a relaxed structure of LiZn6, with properties calculated at the PBE-GGA level.

Cell: 9.4001 9.4001 9.3839 Å, 90.00 90.00 90.00°
Element x y z (fractional)
Zn: 0.5652 0.2671 0.3285
Zn: 0.4008 0.9008 0.5613
Zn: 0.7500 0.7500 0.2500
Zn: 0.0652 0.2329 0.6715
Zn: 0.1352 0.9557 0.5971
Zn: 0.2671 0.4348 0.6715
Zn: 0.5000 0.0000 0.3107
Zn: 0.0000 0.5000 0.6893
Zn: 0.4348 0.2671 0.8285
Zn: 0.5652 0.7329 0.8285
Zn: 0.7671 0.0652 0.3285
Zn: 0.5992 0.9008 0.0613
Zn: 0.8648 0.0443 0.5971
Zn: 0.5443 0.3648 0.5971
Zn: 0.7671 0.9348 0.8285
Zn: 0.5000 0.0000 0.8107
Zn: 0.2671 0.5652 0.1715
Zn: 0.6352 0.5443 0.4029
Zn: 0.4008 0.0992 0.0613
Zn: 0.5443 0.6352 0.0971
Zn: 0.7329 0.5652 0.6715
Zn: 0.0992 0.5992 0.9387
Zn: 0.2329 0.0652 0.8285
Zn: 0.5992 0.0992 0.5613
Zn: 0.0992 0.4008 0.4387
Zn: 0.1352 0.0443 0.0971
Zn: 0.8648 0.9557 0.0971
Zn: 0.9348 0.2329 0.1715
Zn: 0.9008 0.4008 0.9387
Zn: 0.4348 0.7329 0.3285
Zn: 0.2500 0.7500 0.7500
Zn: 0.3648 0.5443 0.9029
Zn: 0.3648 0.4557 0.4029
Zn: 0.0443 0.1352 0.4029
Zn: 0.9557 0.1352 0.9029
Zn: 0.2329 0.9348 0.3285
Zn: 0.0443 0.8648 0.9029
Zn: 0.7329 0.4348 0.1715
Zn: 0.9348 0.7671 0.6715
Zn: 0.9557 0.8648 0.4029
Zn: 0.7500 0.2500 0.7500
Zn: 0.0652 0.7671 0.1715
Zn: 0.2500 0.2500 0.2500
Zn: 0.9008 0.5992 0.4387
Zn: 0.4557 0.6352 0.5971
Zn: 0.6352 0.4557 0.9029
Zn: 0.0000 0.5000 0.1893
Zn: 0.4557 0.3648 0.0971
Li: 0.6778 0.8222 0.5344
Li: 0.3222 0.1778 0.5344
Li: 0.1778 0.6778 0.4656
Li: 0.8222 0.6778 0.9656
Li: 0.6778 0.1778 0.0344
Li: 0.3222 0.8222 0.0344
Li: 0.1778 0.3222 0.9656
Li: 0.8222 0.3222 0.4656

* V: 14.8 A^3/atom



Version x
Below is a relaxed structure of LiZn6, with properties calculated at the PBE-GGA level.

Cell: 5.3975 5.3975 5.3975 Å, 60.00 60.00 60.00°
Element x y z (fractional)
Zn: 0.0000 0.5000 0.5000
Zn: 0.0000 0.0000 0.5000
Zn: 0.5000 0.5000 0.0000
Zn: 0.5000 0.0000 0.0000
Zn: 0.5000 0.0000 0.5000
Zn: 0.0000 0.5000 0.0000
Li: 0.0000 0.0000 0.0000

* V: 15.9 A^3/atom



Energies, relative to the best one, in meV per atom: version w 0; version x 82.



Version w
Below is a relaxed structure of Li3Zr4, with properties calculated at the PBE-GGA level.

Cell: 8.3038 8.3047 4.9270 Å, 90.00 90.00 60.01°
Element x y z (fractional)
Li: 0.5232 0.3889 0.5000
Li: 0.2933 0.5720 0.0000
Li: 0.4292 0.8491 0.0000
Li: 0.2460 0.8021 0.5000
Li: 0.6591 0.6661 0.5000
Li: 0.7063 0.4360 0.0000
Zr: 0.3743 0.0942 0.5000
Zr: 0.8095 0.9523 0.5000
Zr: 0.8496 0.7209 0.0000
Zr: 0.0011 0.9924 0.0000
Zr: 0.1429 0.2858 0.0000
Zr: 0.5781 0.1438 0.0000
Zr: 0.1028 0.5172 0.5000
Zr: 0.9513 0.2457 0.5000

* total magnetization: 0.120 μB per formula unit
* V: 21.0 A^3/atom



Version x
Below is a relaxed structure of Li3Zr4, with properties calculated at the PBE-GGA level.

Cell: 8.1026 8.1050 4.8140 Å, 90.00 90.00 60.01°
Element x y z (fractional)
Li: 0.6654 0.6729 0.5000
Li: 0.2444 0.8045 0.5000
Li: 0.2793 0.5764 0.0000
Li: 0.3759 0.0939 0.5000
Li: 0.1478 0.2870 0.0000
Li: 0.8586 0.7080 0.0000
Zr: 0.9812 0.2168 0.5000
Zr: 0.5425 0.1642 0.0000
Zr: 0.7882 0.9448 0.5000
Zr: 0.5161 0.4099 0.5000
Zr: 0.7356 0.4362 0.0000
Zr: 0.4286 0.8571 0.0000
Zr: 0.0952 0.5237 0.5000
Zr: 0.0076 0.9711 0.0000

* total magnetization: 0.367 μB per formula unit
* V: 19.6 A^3/atom



Energies, relative to the best one, in meV per atom: version w 0; version x 158.



Version w
Below is a relaxed structure of Li2Zr, with properties calculated at the PBE-GGA level.

Cell: 5.2862 5.2862 5.2862 Å, 60.00 60.00 60.00°
Last column: magnetic moment on the atom in μB.
Element x y z (fractional)
Li: 0.6250 0.6250 0.6250  0.01
Li: 0.6250 0.1250 0.6250  0.02
Li: 0.1250 0.6250 0.6250  0.01
Li: 0.6250 0.6250 0.1250  0.01
Zr: 0.2500 0.2500 0.2500  0.68
Zr: 0.0000 0.0000 0.0000  0.68

* total magnetization: 1.143 μB per formula unit
* V: 17.4 A^3/atom



Version x
Below is a relaxed structure of Li2Zr, with properties calculated at the PBE-GGA level.

Cell: 9.0421 9.0421 9.0421 Å, 60.00 60.00 60.00°
Last column: magnetic moment on the atom in μB.
Element x y z (fractional)
Li: 0.3750 0.8750 0.8750  0.14
Li: 0.8750 0.8750 0.3750  0.15
Li: 0.8750 0.8750 0.8750  0.16
Li: 0.8750 0.3750 0.8750  0.16
Zr: 0.7500 0.7500 0.7500  1.88
Zr: 0.0000 0.0000 0.0000  1.88

* total magnetization: 4.003 μB per formula unit
* V: 87.1 A^3/atom



Version y
Below is a relaxed structure of Li2Zr, with properties calculated at the PBE-GGA level.

Cell: 7.6043 7.6043 4.3993 Å, 90.00 90.00 155.02°
Last column: magnetic moment on the atom in μB.
Element x y z (fractional)
Li: 0.6129 0.3871 0.2500  0.01
Li: 0.7485 0.2515 0.7500  -0.01
Li: 0.2515 0.7485 0.2500  -0.01
Li: 0.3871 0.6129 0.7500  0.01
Zr: 0.0636 0.9364 0.7500  0.38
Zr: 0.9364 0.0636 0.2500  0.38

* total magnetization: 0.537 μB per formula unit
* V: 17.9 A^3/atom



Energies, relative to the best one, in meV per atom: version w 9; version x 1832; version y 0.